Entry 1:
Below is a relaxed structure of Cd2NiBr, with properties calculated at the PBE level.

Calculated values
- formation energy without anion corrections (meV/atom) = 177
- space-group type = Cmm2 (35)
- E above lowest polymorph (eV/atom) = 0.201

Cell lengths 3.4135, 3.4135, 8.9441 Å; angles 90.00, 90.00, 121.65 degrees
Closest atoms and distances in Å follow each position.
Fractional positions:
Br1 0.5000 0.5000 0.7005  2 Ni 2.38
Cd1 0.0000 0.0000 0.0034  4 Cd 3.02-3.33, 2 Br 3.18
Cd2 0.5000 0.5000 0.2856  2 Ni 2.61
Ni1 0.0000 0.0000 0.5104  2 Br 2.38, 2 Cd 2.61

=====

Entry 2:
Below is a relaxed structure of Ho2CoSi, with properties calculated at the PBE level.

Calculated values
- formation energy without anion corrections (meV/atom) = 353
- space-group type = R-3m (166)
- E above lowest polymorph (eV/atom) = 0.886

Cell lengths 3.3505, 3.3505, 9.3597 Å; angles 79.69, 79.69, 60.00 degrees
Closest atoms and distances in Å follow each position.
Fractional positions:
Si1 0.5000 0.5000 0.5000  6 Ho 2.87
Co1 0.0000 0.0000 0.0000  2 Ho 2.45
Ho1 0.0893 0.0893 0.7320  1 Co 2.45
Ho2 0.9107 0.9107 0.2680  1 Co 2.45

=====

Entry 3:
Below is a relaxed structure of MnW2Cl, with properties calculated at the PBE level.

Calculated values
- formation energy without anion corrections (meV/atom) = 772
- space-group type = Imm2 (44)
- E above lowest polymorph (eV/atom) = 0.463

Cell lengths 5.1524, 5.1524, 5.1524 Å; angles 147.85, 128.60, 61.93 degrees
Closest atoms and distances in Å follow each position.
Fractional positions:
Cl1 0.5133 0.5133 0.0000  2 Mn 2.40, 6 W 2.55-2.67
Mn1 0.7324 0.2324 0.5000  2 Cl 2.40, 6 W 2.62-2.68
W1 0.9806 0.9806 0.0000  2 Mn 2.62, 4 Cl 2.67, 4 W 2.85-2.89
W2 0.2737 0.7737 0.5000  2 Cl 2.55, 4 Mn 2.68, 2 W 2.85

=====

Entry 4:
Below is a relaxed structure of Ho12Tl5Zn2, with properties calculated at the PBE level.

Calculated values
- formation energy from the elements (eV per atom) = -0.1458
- space-group type = C2/m (12)

Cell lengths 7.0898, 9.2435, 8.9928 Å; angles 83.49, 90.00, 112.55 degrees
Closest atoms and distances in Å follow each position.
Fractional positions:
Ho1 0.9656 0.9312 0.1818  2 Zn 2.88, 1 Tl 2.99
Ho2 0.0895 0.6897 0.9279  1 Zn 2.87
Ho3 0.6002 0.6897 0.9279  1 Zn 2.87
Ho4 0.1027 0.6981 0.5149  4 Tl 3.13-3.38, 2 Ho 3.43-3.49
Ho5 0.5955 0.6981 0.5149  4 Tl 3.13-3.38, 2 Ho 3.43-3.49
Ho6 0.4954 0.9909 0.6947  2 Zn 3.00
Ho7 0.5046 0.0091 0.3053  2 Zn 3.00
Ho8 0.8973 0.3019 0.4851  4 Tl 3.13-3.38, 2 Ho 3.43-3.49
Ho9 0.4045 0.3019 0.4851  4 Tl 3.13-3.38, 2 Ho 3.43-3.49
Ho10 0.9105 0.3103 0.0721  1 Zn 2.87
Ho11 0.3998 0.3103 0.0721  1 Zn 2.87
Ho12 0.0344 0.0688 0.8182  2 Zn 2.88, 1 Tl 2.99
Tl1 0.2255 0.4510 0.7539  9 Ho 3.24-3.43, 2 Tl 3.57
Tl2 0.2996 0.5993 0.2371  7 Ho 3.24-3.63, 2 Tl 3.57
Tl3 0.0000 0.0000 0.5000  6 Ho 2.99-3.13
Tl4 0.7004 0.4007 0.7629  7 Ho 3.24-3.63, 2 Tl 3.57
Tl5 0.7745 0.5490 0.2461  9 Ho 3.24-3.43, 2 Tl 3.57
Zn1 0.6688 0.0000 0.0000  1 Zn 2.39
Zn2 0.3312 0.0000 0.0000  1 Zn 2.39

=====

Entry 5:
Below is a relaxed structure of BaGa2ReSi, with properties calculated at the PBE level.

Calculated values
- formation energy without anion corrections (meV/atom) = -300
- space-group type = P4/mmm (123)

Cell lengths 4.9394, 4.9394, 4.7396 Å; angles 90.00, 90.00, 90.00 degrees
Closest atoms and distances in Å follow each position.
Fractional positions:
Re1 0.0000 0.0000 0.0000  2 Si 2.37, 4 Ga 2.47
Si1 0.0000 0.0000 0.5000  2 Re 2.37
Ba1 0.5000 0.5000 0.5000  8 Ga 3.42, 4 Si 3.49
Ga1 0.0000 0.5000 0.0000  2 Re 2.47
Ga2 0.5000 0.0000 0.0000  2 Re 2.47

=====

Entry 6:
Below is a relaxed structure of BPt, with properties calculated at the PBE level.

Calculated values
- formation energy from the elements (eV per atom) = -0.0230
- space-group type = C2 (5)

Cell lengths 4.9449, 5.0052, 4.1945 Å; angles 90.00, 112.17, 90.00 degrees
Closest atoms and distances in Å follow each position.
Fractional positions:
B1 0.3051 0.2216 0.4150  1 B 1.79
B2 0.6949 0.2216 0.5850  1 B 1.79
B3 0.3051 0.7216 0.9150  1 B 1.79
B4 0.6949 0.7216 0.0850  1 B 1.79
Pt1 0.5000 0.6531 0.5000  6 B 2.30-2.34
Pt2 0.5000 0.1531 0.0000  6 B 2.30-2.34
Pt3 0.0000 0.4506 0.0000  4 B 2.15-2.16
Pt4 0.0000 0.9506 0.5000  4 B 2.15-2.16

=====

Entry 7:
Below is a relaxed structure of HfMg2PCl, with properties calculated at the PBE level.

Calculated values
- formation energy without anion corrections (meV/atom) = 440
- space-group type = P4/mmm (123)

Cell lengths 4.6727, 4.8325, 4.6727 Å; angles 90.00, 90.00, 90.00 degrees
Closest atoms and distances in Å follow each position.
Fractional positions:
P1 0.5000 0.5000 0.5000  4 Hf 3.30, 8 Mg 3.36
Mg1 0.0000 0.0000 0.5000  2 Cl 2.34
Mg2 0.5000 0.0000 0.0000  2 Cl 2.34
Hf1 0.0000 0.5000 0.0000  2 Cl 2.42
Cl1 0.0000 0.0000 0.0000  4 Mg 2.34, 2 Hf 2.42

=====

Entry 8:
Below is a relaxed structure of Sr2CaMgF, with properties calculated at the PBE level.

Calculated values
- formation energy without anion corrections (meV/atom) = -1067
- space-group type = P4/mmm (123)

Cell lengths 5.8962, 5.8962, 4.6100 Å; angles 90.00, 90.00, 90.00 degrees
Closest atoms and distances in Å follow each position.
Fractional positions:
Sr1 0.0000 0.5000 0.0000  2 F 2.95
Sr2 0.5000 0.0000 0.0000  2 F 2.95
Ca1 0.0000 0.0000 0.5000  2 F 2.31
Mg1 0.5000 0.5000 0.5000  8 Sr 3.74, 4 Ca 4.17
F1 0.0000 0.0000 0.0000  2 Ca 2.31

=====

| no. | magnetization (μB per cell) |
| --- | --- |
| 1 | 0.42 |
| 2 | 0.82 |
| 3 | 0.00 |
| 4 | 0.00 |
| 5 | 0.00 |
| 6 | 0.00 |
| 7 | 0.00 |
| 8 | 0.00 |